1.
A relaxed structure of La3RuIBr, computed with PBE.

The structure in POSCAR format:
```
La3RuIBr
1.0
9.855 0.000 0.000
0.000 4.220 0.000
-0.465 0.000 10.340
La Ru I Br
6 2 2 2
direct
0.086 0.250 0.362
0.138 0.250 0.906
0.313 0.750 0.640
0.687 0.250 0.360
0.862 0.750 0.094
0.914 0.750 0.638
0.118 0.250 0.650
0.882 0.750 0.350
0.391 0.750 0.331
0.609 0.250 0.669
0.362 0.750 0.932
0.638 0.250 0.068
```

Values from the calculation:
space-group type: No. 11
energy: -65.89 eV/cell
formation energy (no corrections): -0.9436 eV/atom

---

2.
A relaxed structure of LaSb2IBr, computed with PBE.

The structure in POSCAR format:
```
LaSb2IBr
1.0
5.577 0.000 0.000
0.000 5.577 0.000
0.000 0.000 5.569
La Sb I Br
1 2 1 1
direct
0.000 0.000 0.000
0.000 0.500 0.500
0.500 0.000 0.500
0.500 0.500 0.000
0.500 0.500 0.500
```

Values from the calculation:
space-group type: No. 123
energy: -15.83 eV/cell
polymorph energy (0 for the lowest one): 41.0 meV/atom
formation energy (no corrections): 0.1124 eV/atom